Material: Ir2OsPt
Method: DFT, GGA-PBE
State: optimized geometry

abc: 2.7477 2.7477 27.0774
angles: 90.00 90.00 120.00
With the nearest neighbours (Å) after each atom.
Fractional coordinates of all 12 atoms:
1 Ir 0.0000 0.0000 0.0000  3 Os 2.68, 9 Ir 2.74-2.75
2 Ir 0.0000 0.0000 0.2508  9 Ir 2.74-2.75, 3 Pt 2.82
3 Ir 0.3333 0.6667 0.6667  3 Os 2.68, 9 Ir 2.74-2.75
4 Ir 0.3333 0.6667 0.9175  9 Ir 2.74-2.75, 3 Pt 2.82
5 Ir 0.6667 0.3333 0.3333  3 Os 2.68, 9 Ir 2.74-2.75
6 Ir 0.6667 0.3333 0.5841  9 Ir 2.74-2.75, 3 Pt 2.82
7 Os 0.0000 0.0000 0.7463  3 Ir 2.68, 6 Os 2.75, 3 Pt 2.79
8 Os 0.3333 0.6667 0.4130  3 Ir 2.68, 6 Os 2.75, 3 Pt 2.79
9 Os 0.6667 0.3333 0.0796  3 Ir 2.68, 6 Os 2.75, 3 Pt 2.79
10 Pt 0.0000 0.0000 0.4979  6 Pt 2.75, 3 Os 2.79, 3 Ir 2.82
11 Pt 0.3333 0.6667 0.1645  6 Pt 2.75, 3 Os 2.79, 3 Ir 2.82
12 Pt 0.6667 0.3333 0.8312  6 Pt 2.75, 3 Os 2.79, 3 Ir 2.82

Output
Formation energy from the elements in eV/f.u.: 0.3
Fermi-level density of states in states/eV/atom: 1.59
Calculated volume in Å³ per atom: 14.75
Energy relative to the lowest polymorph listed for this composition in meV per atom: 87
Raw total energy in Ry/atom: -0.6374
Total moment in μB per cell: 0.0